Density functional theory data (PBE) for a geometry-optimized La4DyEr5 structure.

Excess energy over the best structure of this formula in the dataset, meV per atom: 33
Energy relative to the elements, kJ per mole of atoms: 22
Theoretical density, g cm⁻³: 7.423

```
La4DyEr5
1.0
-5.388 5.388 2.995
5.388 -5.388 2.995
5.388 5.388 -2.995
La Dy Er
4 1 5
Cartesian
3.473 0.000 0.000 La
7.302 0.000 0.000 La
0.000 3.473 0.000 La
0.000 7.302 0.000 La
0.000 0.000 4.499 Dy
0.000 0.000 1.391 Er
3.358 3.358 -0.054 Er
2.030 -2.030 2.941 Er
-2.030 2.030 2.941 Er
2.030 2.030 2.941 Er
```